# Y2CdCu2 (GGA-PBEsol, relaxed)
data_Y2CdCu2
_chemical_formula_sum 'Y4 Cd2 Cu4'
_symmetry_space_group_name_H-M 'P 4/m b m'
_symmetry_Int_Tables_number 127
_symmetry_space_group_name_Hall '-P 4 2ab'
_cell_length_a 7.461
_cell_length_b 7.461
_cell_length_c 3.628
_cell_angle_alpha 90.00
_cell_angle_beta 90.00
_cell_angle_gamma 90.00
loop_
_atom_site_label
_atom_site_type_symbol
_atom_site_fract_x
_atom_site_fract_y
_atom_site_fract_z
_atom_site_occupancy
Y1 Y 0.175 0.325 0.000 1
Cd1 Cd 0.000 0.000 0.500 1
Cu1 Cu 0.119 0.619 0.500 1
# * energy of formation: -0.31 eV/atom
# * electronic total energy: -5.0142 eV per atom
# * total magnetization: 0.0 μB per cell

***

# YCd2Cu (GGA-PBEsol, relaxed)
data_YCd2Cu
_chemical_formula_sum 'Y2 Cd4 Cu2'
_symmetry_space_group_name_H-M 'I m m m'
_symmetry_Int_Tables_number 71
_symmetry_space_group_name_Hall '-I 2 2'
_cell_length_a 3.536
_cell_length_b 4.914
_cell_length_c 9.365
_cell_angle_alpha 90.00
_cell_angle_beta 90.00
_cell_angle_gamma 90.00
loop_
_atom_site_label
_atom_site_type_symbol
_atom_site_fract_x
_atom_site_fract_y
_atom_site_fract_z
_atom_site_occupancy
Y1 Y 0.000 0.000 0.000 1
Cd1 Cd 0.000 0.500 0.219 1
Cu1 Cu 0.000 0.000 0.500 1
# * energy of formation: -0.14 eV/atom
# * electronic total energy: -3.5242 eV per atom
# * total magnetization: 0.0 μB per cell

***

# Y2CdCu (GGA-PBEsol, relaxed)
data_Y2CdCu
_chemical_formula_sum 'Y4 Cd2 Cu2'
_symmetry_space_group_name_H-M 'C 1 2/m 1'
_symmetry_Int_Tables_number 12
_cell_length_a 6.371
_cell_length_b 3.751
_cell_length_c 8.644
_cell_angle_alpha 90.00
_cell_angle_beta 104.96
_cell_angle_gamma 90.00
loop_
_symmetry_equiv_pos_as_xyz
'x,y,z'
'-x,-y,-z'
'-x,y,-z'
'x,-y,z'
'x+1/2,y+1/2,z'
'-x+1/2,-y+1/2,-z'
'-x+1/2,y+1/2,-z'
'x+1/2,-y+1/2,z'
loop_
_atom_site_label
_atom_site_type_symbol
_atom_site_fract_x
_atom_site_fract_y
_atom_site_fract_z
_atom_site_occupancy
Y1 Y 0.238 0.000 0.217 1
Cd1 Cd 0.000 0.000 0.500 1
Cu1 Cu 0.000 0.500 0.000 1
# * energy of formation: -0.05 eV/atom
# * electronic total energy: -4.8486 eV per atom
# * total magnetization: 0.0 μB per cell

***

# ZnCd3Cu (GGA-PBEsol, relaxed)
data_ZnCd3Cu
_chemical_formula_sum 'Zn1 Cd3 Cu1'
_symmetry_space_group_name_H-M 'P m -3 m'
_symmetry_Int_Tables_number 221
_symmetry_space_group_name_Hall '-P 4 2 3'
_cell_length_a 4.900
_cell_length_b 4.900
_cell_length_c 4.900
_cell_angle_alpha 90.00
_cell_angle_beta 90.00
_cell_angle_gamma 90.00
loop_
_atom_site_label
_atom_site_type_symbol
_atom_site_fract_x
_atom_site_fract_y
_atom_site_fract_z
_atom_site_occupancy
Zn1 Zn 0.000 0.000 0.000 1
Cd1 Cd 0.000 0.500 0.500 1
Cu1 Cu 0.500 0.500 0.500 1
# * energy of formation: 0.40 eV/atom
# * electronic total energy: -1.4965 eV per atom
# * total magnetization: 0.0 μB per cell

***

# ZrCd2Cu (GGA-PBEsol, relaxed)
data_ZrCd2Cu
_chemical_formula_sum 'Zr1 Cd2 Cu1'
_symmetry_space_group_name_H-M 'P 4/m m m'
_symmetry_Int_Tables_number 123
_symmetry_space_group_name_Hall '-P 4 2'
_cell_length_a 3.076
_cell_length_b 3.076
_cell_length_c 7.611
_cell_angle_alpha 90.00
_cell_angle_beta 90.00
_cell_angle_gamma 90.00
loop_
_atom_site_label
_atom_site_type_symbol
_atom_site_fract_x
_atom_site_fract_y
_atom_site_fract_z
_atom_site_occupancy
Zr1 Zr 0.000 0.000 0.000 1
Cd1 Cd 0.500 0.500 0.286 1
Cu1 Cu 0.000 0.000 0.500 1
# * energy of formation: -0.06 eV/atom
# * electronic total energy: -4.0133 eV per atom
# * total magnetization: 0.0 μB per cell

***

# ZrCdCu (GGA-PBEsol, relaxed)
data_ZrCdCu
_chemical_formula_sum 'Zr2 Cd2 Cu2'
_symmetry_space_group_name_H-M 'I 4 m m'
_symmetry_Int_Tables_number 107
_symmetry_space_group_name_Hall 'I 4 -2'
_cell_length_a 3.056
_cell_length_b 3.056
_cell_length_c 11.298
_cell_angle_alpha 90.00
_cell_angle_beta 90.00
_cell_angle_gamma 90.00
loop_
_atom_site_label
_atom_site_type_symbol
_atom_site_fract_x
_atom_site_fract_y
_atom_site_fract_z
_atom_site_occupancy
Zr1 Zr 0.000 0.000 0.000 1
Cd1 Cd 0.000 0.000 0.700 1
Cu1 Cu 0.000 0.000 0.347 1
# * energy of formation: -0.09 eV/atom
# * electronic total energy: -4.9609 eV per atom
# * total magnetization: 0.0 μB per cell

***

# ZrCdCu (GGA-PBEsol, relaxed)
data_ZrCdCu
_chemical_formula_sum 'Zr2 Cd2 Cu2'
_symmetry_space_group_name_H-M 'I m m 2'
_symmetry_Int_Tables_number 44
_cell_length_a 2.899
_cell_length_b 4.268
_cell_length_c 8.545
_cell_angle_alpha 90.00
_cell_angle_beta 90.00
_cell_angle_gamma 90.00
loop_
_symmetry_equiv_pos_as_xyz
'x,y,z'
'-x,-y,z'
'-x,y,z'
'x,-y,z'
'x+1/2,y+1/2,z+1/2'
'-x+1/2,-y+1/2,z+1/2'
'-x+1/2,y+1/2,z+1/2'
'x+1/2,-y+1/2,z+1/2'
loop_
_atom_site_label
_atom_site_type_symbol
_atom_site_fract_x
_atom_site_fract_y
_atom_site_fract_z
_atom_site_occupancy
Zr1 Zr 0.000 0.000 0.000 1
Cd1 Cd 0.000 0.000 0.671 1
Cu1 Cu 0.000 0.000 0.335 1
# * energy of formation: 0.04 eV/atom
# * electronic total energy: -4.8342 eV per atom
# * total magnetization: 0.0 μB per cell

***

# Zr2CdCu (GGA-PBEsol, relaxed)
data_Zr2CdCu
_chemical_formula_sum 'Zr2 Cd1 Cu1'
_symmetry_space_group_name_H-M 'P 4 m m'
_symmetry_Int_Tables_number 99
_cell_length_a 3.138
_cell_length_b 3.138
_cell_length_c 7.734
_cell_angle_alpha 90.00
_cell_angle_beta 90.00
_cell_angle_gamma 90.00
loop_
_symmetry_equiv_pos_as_xyz
'x,y,z'
'-y,x,z'
'-x,-y,z'
'y,-x,z'
'-x,y,z'
'y,x,z'
'x,-y,z'
'-y,-x,z'
loop_
_atom_site_label
_atom_site_type_symbol
_atom_site_fract_x
_atom_site_fract_y
_atom_site_fract_z
_atom_site_occupancy
Zr1 Zr 0.000 0.000 0.000 1
Zr2 Zr 0.500 0.500 0.282 1
Cd1 Cd 0.000 0.000 0.573 1
Cu1 Cu 0.500 0.500 0.779 1
# * energy of formation: -0.11 eV/atom
# * electronic total energy: -6.0329 eV per atom
# * total magnetization: 0.0 μB per cell

***

# ZrCdCu2 (GGA-PBEsol, relaxed)
data_ZrCdCu2
_chemical_formula_sum 'Zr2 Cd2 Cu4'
_symmetry_space_group_name_H-M 'I -4 m 2'
_symmetry_Int_Tables_number 119
_symmetry_space_group_name_Hall 'I -4 -2'
_cell_length_a 4.493
_cell_length_b 4.493
_cell_length_c 6.322
_cell_angle_alpha 90.00
_cell_angle_beta 90.00
_cell_angle_gamma 90.00
loop_
_atom_site_label
_atom_site_type_symbol
_atom_site_fract_x
_atom_site_fract_y
_atom_site_fract_z
_atom_site_occupancy
Zr1 Zr 0.000 0.000 0.000 1
Cd1 Cd 0.000 0.500 0.250 1
Cu1 Cu 0.000 0.000 0.500 1
Cu2 Cu 0.000 0.500 0.750 1
# * energy of formation: 0.01 eV/atom
# * electronic total energy: -4.7292 eV per atom
# * total magnetization: 0.0 μB per cell

***

# ZrCdCu (GGA-PBEsol, relaxed)
data_ZrCdCu
_chemical_formula_sum 'Zr1 Cd1 Cu1'
_symmetry_space_group_name_H-M 'P -6 m 2'
_symmetry_Int_Tables_number 187
_symmetry_space_group_name_Hall 'P -6 2'
_cell_length_a 4.5844
_cell_length_b 4.5844
_cell_length_c 2.8704
_cell_angle_alpha 90.00
_cell_angle_beta 90.00
_cell_angle_gamma 120.00
loop_
_atom_site_label
_atom_site_type_symbol
_atom_site_fract_x
_atom_site_fract_y
_atom_site_fract_z
_atom_site_occupancy
Zr1 Zr 0.0000 0.0000 0.0000 1
Cd1 Cd 0.3333 0.6667 0.5000 1
Cu1 Cu 0.6667 0.3333 0.5000 1
# * energy of formation: -0.09 eV/atom
# * electronic total energy: -4.9614 eV per atom
# * total magnetization: 0.0 μB per cell

***

# ZrCd3Cu (GGA-PBEsol, relaxed)
data_ZrCd3Cu
_chemical_formula_sum 'Zr1 Cd3 Cu1'
_symmetry_space_group_name_H-M 'P m -3 m'
_symmetry_Int_Tables_number 221
_symmetry_space_group_name_Hall '-P 4 2 3'
_cell_length_a 4.729
_cell_length_b 4.729
_cell_length_c 4.729
_cell_angle_alpha 90.00
_cell_angle_beta 90.00
_cell_angle_gamma 90.00
loop_
_atom_site_label
_atom_site_type_symbol
_atom_site_fract_x
_atom_site_fract_y
_atom_site_fract_z
_atom_site_occupancy
Zr1 Zr 0.000 0.000 0.000 1
Cd1 Cd 0.000 0.500 0.500 1
Cu1 Cu 0.500 0.500 0.500 1
# * energy of formation: 0.38 eV/atom
# * electronic total energy: -3.0273 eV per atom
# * total magnetization: 0.0 μB per cell

***

# Zr2CdCu (GGA-PBEsol, relaxed)
data_Zr2CdCu
_chemical_formula_sum 'Zr2 Cd1 Cu1'
_symmetry_space_group_name_H-M 'P 4/m m m'
_symmetry_Int_Tables_number 123
_symmetry_space_group_name_Hall '-P 4 2'
_cell_length_a 3.015
_cell_length_b 3.015
_cell_length_c 8.178
_cell_angle_alpha 90.00
_cell_angle_beta 90.00
_cell_angle_gamma 90.00
loop_
_atom_site_label
_atom_site_type_symbol
_atom_site_fract_x
_atom_site_fract_y
_atom_site_fract_z
_atom_site_occupancy
Zr1 Zr 0.000 0.000 0.222 1
Cd1 Cd 0.500 0.500 0.500 1
Cu1 Cu 0.500 0.500 0.000 1
# * energy of formation: -0.12 eV/atom
# * electronic total energy: -6.0505 eV per atom
# * total magnetization: 0.0 μB per cell

***

# ZrCd2Cu (GGA-PBEsol, relaxed)
data_ZrCd2Cu
_chemical_formula_sum 'Zr1 Cd2 Cu1'
_symmetry_space_group_name_H-M 'P 4 m m'
_symmetry_Int_Tables_number 99
_cell_length_a 3.071
_cell_length_b 3.071
_cell_length_c 7.752
_cell_angle_alpha 90.00
_cell_angle_beta 90.00
_cell_angle_gamma 90.00
loop_
_symmetry_equiv_pos_as_xyz
'x,y,z'
'-y,x,z'
'-x,-y,z'
'y,-x,z'
'-x,y,z'
'y,x,z'
'x,-y,z'
'-y,-x,z'
loop_
_atom_site_label
_atom_site_type_symbol
_atom_site_fract_x
_atom_site_fract_y
_atom_site_fract_z
_atom_site_occupancy
Zr1 Zr 0.000 0.000 0.000 1
Cd1 Cd 0.000 0.000 0.567 1
Cd2 Cd 0.500 0.500 0.288 1
Cu1 Cu 0.500 0.500 0.779 1
# * energy of formation: -0.10 eV/atom
# * electronic total energy: -4.0498 eV per atom
# * total magnetization: 0.0 μB per cell

***

# DyCd2 (GGA-PBEsol, relaxed)
data_DyCd2
_chemical_formula_sum 'Dy1 Cd2'
_symmetry_space_group_name_H-M 'P 6/m m m'
_symmetry_Int_Tables_number 191
_symmetry_space_group_name_Hall '-P 6 2'
_cell_length_a 4.8664
_cell_length_b 4.8664
_cell_length_c 3.3656
_cell_angle_alpha 90.00
_cell_angle_beta 90.00
_cell_angle_gamma 120.00
loop_
_atom_site_label
_atom_site_type_symbol
_atom_site_fract_x
_atom_site_fract_y
_atom_site_fract_z
_atom_site_occupancy
Dy1 Dy 0.0000 0.0000 0.0000 1
Cd1 Cd 0.3333 0.6667 0.5000 1
# * energy of formation: -0.35 eV/atom
# * electronic total energy: -2.8103 eV per atom
# * total magnetization: 0.0 μB per cell

***

# DyCd (GGA-PBEsol, relaxed)
data_DyCd
_chemical_formula_sum 'Dy1 Cd1'
_symmetry_space_group_name_H-M 'P m -3 m'
_symmetry_Int_Tables_number 221
_symmetry_space_group_name_Hall '-P 4 2 3'
_cell_length_a 3.673
_cell_length_b 3.673
_cell_length_c 3.673
_cell_angle_alpha 90.00
_cell_angle_beta 90.00
_cell_angle_gamma 90.00
loop_
_atom_site_label
_atom_site_type_symbol
_atom_site_fract_x
_atom_site_fract_y
_atom_site_fract_z
_atom_site_occupancy
Dy1 Dy 0.000 0.000 0.000 1
Cd1 Cd 0.500 0.500 0.500 1
# * energy of formation: -0.34 eV/atom
# * electronic total energy: -3.4271 eV per atom
# * total magnetization: 0.0 μB per cell